A plane-wave DFT calculation with PBE was carried out for a geometry-optimized Pr3LuFe structure.

Cell and atoms, written as extended XYZ:
```
5
Lattice="5.406 0.000 0.000 0.000 5.406 0.000 0.000 0.000 5.406" Properties=species:S:1:pos:R:3 pbc="T T T"
Pr 0.000 2.703 0.000
Pr 0.000 0.000 2.703
Pr 2.703 0.000 0.000
Lu 2.703 2.703 2.703
Fe 0.000 0.000 0.000
```

## Properties
* E: -5.23 eV/atom
* DOS(E_F): 7.52 states/eV/cell
* calculated formation energy: 0.2351 eV/atom
* crystal system: cubic

A plane-wave DFT calculation with PBE was carried out for a geometry-optimized Sc2SnOs structure.

Cell and atoms, written as extended XYZ:
```
4
Lattice="-0.577 3.168 -0.941 -3.252 -0.374 0.732 1.207 2.136 6.456" Properties=species:S:1:pos:R:3 pbc="T T T"
Sc 0.943 1.669 5.043
Sc 0.264 0.468 1.413
Os -1.914 1.397 -0.104
Sn -1.311 2.465 3.124
```

## Properties
* E: -7.50 eV/atom
* DOS(E_F): 1.08 states/eV/cell
* calculated formation energy: -0.5255 eV/atom
* crystal system: tetragonal

Which formula does entry 2 have? Sc2SnOs

Number 2 is which compound? Sc2SnOs

Number 2 is which compound? Sc2SnOs